[1]
DFT (GGA-PBE) results for a geometry-optimized ReTcB structure.

Lattice parameters (Å, degrees): 4.6068 4.5129 4.5317 75.00 59.45 59.31
With the nearest neighbours (Å) after each atom.
Atoms (fractional coordinates):
Re 0.3347 0.9999 0.3308  4 B 2.35, 1 Re 2.58
Re 0.6653 0.0001 0.6692  4 B 2.35, 1 Re 2.58
Tc 0.1669 0.6660 0.0003  4 B 2.36, 1 Tc 2.59
Tc 0.8331 0.3340 0.9997  4 B 2.36, 1 Tc 2.59
B 0.7497 0.5000 0.5000  2 B 2.30-2.31, 4 Re 2.35, 4 Tc 2.36
B 0.2503 0.5000 0.5000  2 B 2.30-2.31, 4 Re 2.35, 4 Tc 2.36

Energy above the most stable polymorph in this dataset ... 0 meV per atom
Energy relative to the elements ... -0.239 eV/atom

[2]
DFT (GGA-PBE) results for a geometry-optimized Er3S2O2 structure.

Lattice parameters (Å, degrees): 3.7344 6.5112 6.3254 115.04 90.00 106.67
With the nearest neighbours (Å) after each atom.
Atoms (fractional coordinates):
Er 0.0000 0.0000 0.0000  2 O 2.26
Er 0.7757 0.5515 0.2952  3 O 2.21-2.29
Er 0.2243 0.4485 0.7048  3 O 2.21-2.29
S 0.5997 0.1994 0.8255  5 Er 2.73-2.81
S 0.4003 0.8006 0.1745  5 Er 2.73-2.81
O 0.8224 0.6447 0.6746  4 Er 2.21-2.29
O 0.1776 0.3553 0.3254  4 Er 2.21-2.29

Formation energy from raw total energies ... -2750 meV/atom

[3]
DFT (GGA-PBE) results for a geometry-optimized KNa9Pb2 structure.

Lattice parameters (Å, degrees): 6.7406 6.7406 11.4898 72.94 72.94 60.00
With the nearest neighbours (Å) after each atom.
Atoms (fractional coordinates):
K 0.0000 0.0000 0.0000  6 Na 3.89
Na 0.6632 0.6632 0.0105  9 Na 3.57-3.90, 3 K 3.89
Na 0.3368 0.3368 0.9895  9 Na 3.57-3.90, 3 K 3.89
Na 0.5000 0.5000 0.5000  6 Na 3.12
Na 0.3986 0.3986 0.2815  3 Na 3.12-3.22
Na 0.9213 0.3986 0.2815  3 Na 3.12-3.22
Na 0.3986 0.9213 0.2815  3 Na 3.12-3.22
Na 0.6014 0.6014 0.7185  3 Na 3.12-3.22
Na 0.6014 0.0787 0.7185  3 Na 3.12-3.22
Na 0.0787 0.6014 0.7185  3 Na 3.12-3.22
Pb 0.8528 0.8528 0.4417  12 Na 3.52-3.94
Pb 0.1472 0.1472 0.5583  12 Na 3.52-3.94

Energy relative to the elements ... 0.031 eV/atom

[4]
DFT (GGA-PBE) results for a geometry-optimized Tl2Ag2Pb structure.

Lattice parameters (Å, degrees): 8.0798 8.0798 3.9054 90.00 90.00 90.00
With the nearest neighbours (Å) after each atom.
Atoms (fractional coordinates):
Pb 0.0000 0.0000 0.0000  4 Ag 3.19
Pb 0.5000 0.5000 0.0000  4 Ag 3.19
Tl 0.1715 0.6715 0.5000  6 Ag 3.03-3.12
Tl 0.6715 0.8285 0.5000  6 Ag 3.03-3.12
Tl 0.8285 0.3285 0.5000  6 Ag 3.03-3.12
Tl 0.3285 0.1715 0.5000  6 Ag 3.03-3.12
Ag 0.3746 0.8746 0.0000  1 Ag 2.87, 6 Tl 3.03-3.12, 2 Pb 3.19
Ag 0.8746 0.6254 0.0000  1 Ag 2.87, 6 Tl 3.03-3.12, 2 Pb 3.19
Ag 0.6254 0.1254 0.0000  1 Ag 2.87, 6 Tl 3.03-3.12, 2 Pb 3.19
Ag 0.1254 0.3746 0.0000  1 Ag 2.87, 6 Tl 3.03-3.12, 2 Pb 3.19

Energy above the most stable polymorph in this dataset ... 0 meV per atom
Energy relative to the elements ... 0.110 eV/atom

[5]
DFT (GGA-PBE) results for a geometry-optimized YSb2Ru structure.

Lattice parameters (Å, degrees): 5.3689 5.3689 5.5711 68.91 68.91 38.53
With the nearest neighbours (Å) after each atom.
Atoms (fractional coordinates):
Ru 0.2488 0.2488 0.1411  5 Sb 2.73-3.01, 2 Y 2.99
Sb 0.9684 0.9684 0.0713  3 Ru 2.75-3.01
Sb 0.7520 0.7520 0.7669  2 Ru 2.73, 1 Y 3.04
Y 0.5308 0.5308 0.5207  2 Ru 2.99, 5 Sb 3.04-3.32

Formation energy from raw total energies ... -310 meV/atom

[6]
DFT (GGA-PBE) results for a geometry-optimized NaFe2BCl structure.

Lattice parameters (Å, degrees): 4.1999 4.8055 4.1999 90.00 90.00 90.00
With the nearest neighbours (Å) after each atom.
Atoms (fractional coordinates):
Na 0.0000 0.5000 0.0000  2 Cl 2.40
B 0.5000 0.5000 0.5000  4 Na 2.97, 8 Fe 3.19
Fe 0.0000 0.0000 0.5000  2 Cl 2.10
Fe 0.5000 0.0000 0.0000  2 Cl 2.10
Cl 0.0000 0.0000 0.0000  4 Fe 2.10

Formation energy from raw total energies ... 1300 meV/atom

Number 1: calculated density 14.04 g/cm³. Number 2: calculated density 7.51 g/cm³. Number 3: calculated density 2.58 g/cm³. Number 4: calculated density 10.83 g/cm³. Number 5: calculated density 7.78 g/cm³. Number 6: calculated density 3.54 g/cm³.